Entry 1:
Below is a relaxed structure of La3Dy2Ho2, with properties calculated at the PBE level.

Cell: 3.5223 8.6268 9.0526 Å, 117.91 101.22 90.00°
Last column: nearest neighbours and their distance in Å.
Fractional coordinates of all 7 atoms:
La 0.2138 0.7959 0.4277  5 La 3.42-3.58, 3 Dy 3.52-3.69, 3 Ho 3.64-3.67
La 0.7862 0.2041 0.5723  5 La 3.42-3.58, 3 Dy 3.52-3.69, 3 Ho 3.64-3.67
La 0.0000 0.5000 0.0000  4 La 3.42-3.52, 2 Ho 3.52, 4 Dy 3.62
Dy 0.4357 0.0894 0.8714  3 Dy 3.31-3.52, 5 La 3.52-3.69, 4 Ho 3.58-3.66
Dy 0.5643 0.9106 0.1286  3 Dy 3.31-3.52, 5 La 3.52-3.69, 4 Ho 3.58-3.66
Ho 0.8590 0.6798 0.7180  4 La 3.52-3.67, 2 Ho 3.52, 4 Dy 3.58-3.66
Ho 0.1410 0.3202 0.2820  4 La 3.52-3.67, 2 Ho 3.52, 4 Dy 3.58-3.66

The density of states at the Fermi level comes out at 1.5434 states/eV per atom. The calculation puts the energy above the most stable polymorph in this dataset at 57 meV/atom. Its total energy is -4.62 eV/atom. As for the density: 7.5 Mg/m³. The energy relative to the elements comes out at 0.112 eV/atom.

---

Entry 2:
Below is a relaxed structure of La4Dy5Ho, with properties calculated at the PBE level.

Cell: 3.5497 11.4648 8.7841 Å, 89.96 101.66 90.00°
Last column: nearest neighbours and their distance in Å.
Fractional coordinates of all 10 atoms:
Dy 0.5000 0.5000 0.0000  4 La 3.42, 6 Dy 3.51-3.55
Dy 0.8274 0.0485 0.6549  2 La 3.33-3.66, 4 Dy 3.39-3.55, 2 Ho 3.50
Dy 0.8272 0.4509 0.6545  2 La 3.33-3.66, 6 Dy 3.39-3.55
Dy 0.1728 0.5491 0.3455  2 La 3.33-3.66, 6 Dy 3.39-3.55
Dy 0.1726 0.9515 0.3451  2 La 3.33-3.66, 4 Dy 3.39-3.55, 2 Ho 3.50
La 0.9672 0.2498 0.9343  4 Dy 3.33-3.42, 2 Ho 3.42, 2 La 3.55
La 0.3377 0.7499 0.6754  4 La 3.55-3.80, 6 Dy 3.66-3.86
La 0.6623 0.2501 0.3246  4 La 3.55-3.80, 6 Dy 3.66-3.86
La 0.0328 0.7502 0.0657  4 Dy 3.33-3.42, 2 Ho 3.42, 2 La 3.55
Ho 0.5000 0.0000 0.0000  4 La 3.42, 4 Dy 3.50, 2 Ho 3.55

The density of states at the Fermi level comes out at 1.4936 states/eV per atom. The calculation puts the energy above the most stable polymorph in this dataset at 0 meV/atom. Its total energy is -4.54 eV/atom. As for the density: 7.3 Mg/m³. The energy relative to the elements comes out at 0.191 eV/atom.

---

Entry 3:
Below is a relaxed structure of La3DyHo3, with properties calculated at the PBE level.

Cell: 9.4516 9.4516 8.2978 Å, 55.28 55.28 60.00°
Last column: nearest neighbours and their distance in Å.
Fractional coordinates of all 14 atoms:
La 0.1662 0.7300 0.2330  5 Ho 3.43-3.63, 1 Dy 3.52, 4 La 3.59-3.64
La 0.1291 0.8338 0.7670  5 Ho 3.43-3.63, 1 Dy 3.52, 4 La 3.59-3.64
La 0.2700 0.1291 0.7670  5 Ho 3.43-3.63, 1 Dy 3.52, 4 La 3.59-3.64
La 0.8709 0.1662 0.2330  5 Ho 3.43-3.63, 1 Dy 3.52, 4 La 3.59-3.64
La 0.8338 0.2700 0.7670  5 Ho 3.43-3.63, 1 Dy 3.52, 4 La 3.59-3.64
La 0.7300 0.8709 0.2330  5 Ho 3.43-3.63, 1 Dy 3.52, 4 La 3.59-3.64
Ho 0.9745 0.5550 0.7822  3 Ho 3.40-3.51, 2 Dy 3.43-3.59, 5 La 3.43-3.63
Ho 0.5550 0.6883 0.7822  3 Ho 3.40-3.51, 2 Dy 3.43-3.59, 5 La 3.43-3.63
Ho 0.6883 0.9745 0.7822  3 Ho 3.40-3.51, 2 Dy 3.43-3.59, 5 La 3.43-3.63
Ho 0.0255 0.4450 0.2178  3 Ho 3.40-3.51, 2 Dy 3.43-3.59, 5 La 3.43-3.63
Ho 0.3117 0.0255 0.2178  3 Ho 3.40-3.51, 2 Dy 3.43-3.59, 5 La 3.43-3.63
Ho 0.4450 0.3117 0.2178  3 Ho 3.40-3.51, 2 Dy 3.43-3.59, 5 La 3.43-3.63
Dy 0.5915 0.5915 0.2255  1 Dy 3.43, 6 Ho 3.43-3.59, 3 La 3.52
Dy 0.4085 0.4085 0.7745  1 Dy 3.43, 6 Ho 3.43-3.59, 3 La 3.52

The density of states at the Fermi level comes out at 1.4247 states/eV per atom. Its total energy is -4.60 eV/atom. As for the density: 7.4 Mg/m³. The energy relative to the elements comes out at 0.135 eV/atom.

---

Entry 4:
Below is a relaxed structure of LaDyHo, with properties calculated at the PBE level.

Cell: 3.6082 3.6082 8.7993 Å, 90.00 90.00 120.00°
Last column: nearest neighbours and their distance in Å.
Fractional coordinates of all 3 atoms:
La 0.4577 0.1047 0.1137  6 La 3.61, 3 Ho 3.63-3.64, 3 Dy 3.64-3.65
Ho 0.7910 0.7722 0.7751  3 Dy 3.51, 6 Ho 3.61, 3 La 3.63-3.64
Dy 0.1243 0.4388 0.4538  3 Ho 3.51, 6 Dy 3.61, 3 La 3.64-3.65

The density of states at the Fermi level comes out at 1.3588 states/eV per atom. The calculation puts the energy above the most stable polymorph in this dataset at 0 meV/atom. Its total energy is -4.68 eV/atom. As for the density: 7.8 Mg/m³. The energy relative to the elements comes out at 0.021 eV/atom.

---

Entry 5:
Below is a relaxed structure of La2Dy5Ho12, with properties calculated at the PBE level.

Cell: 6.7441 12.9810 12.3224 Å, 139.57 67.93 118.75°
Last column: nearest neighbours and their distance in Å.
Fractional coordinates of all 19 atoms:
Ho 0.9261 0.6422 0.0562  6 Ho 3.30-3.62, 1 Dy 3.59, 1 La 3.68
Ho 0.8699 0.0320 0.2814  6 Ho 3.33-3.67, 2 La 3.40-3.70, 4 Dy 3.46-3.60
Ho 0.5172 0.6135 0.9287  6 Ho 3.31-3.67, 3 Dy 3.33-3.61, 1 La 3.53
Ho 0.6126 0.0306 0.8040  2 Dy 3.27-3.52, 5 Ho 3.30-3.55, 1 La 3.62
Ho 0.8497 0.5931 0.3598  5 Ho 3.39-3.60, 4 Dy 3.40-3.77, 1 La 3.74
Ho 0.1503 0.4069 0.6402  5 Ho 3.39-3.60, 4 Dy 3.40-3.77, 1 La 3.74
Ho 0.7118 0.3903 0.5243  3 Dy 3.40-3.57, 6 Ho 3.42-3.71, 2 La 3.51-3.74
Ho 0.0739 0.3578 0.9438  6 Ho 3.30-3.62, 1 Dy 3.59, 1 La 3.68
Ho 0.1301 0.9680 0.7186  6 Ho 3.33-3.67, 2 La 3.40-3.70, 4 Dy 3.46-3.60
Ho 0.2882 0.6097 0.4757  3 Dy 3.40-3.57, 6 Ho 3.42-3.71, 2 La 3.51-3.74
Ho 0.4828 0.3865 0.0713  6 Ho 3.31-3.67, 3 Dy 3.33-3.61, 1 La 3.53
Ho 0.3874 0.9694 0.1960  2 Dy 3.27-3.52, 5 Ho 3.30-3.55, 1 La 3.62
Dy 0.3950 0.2516 0.2366  7 Ho 3.27-3.65, 2 La 3.51-3.52
Dy 0.6050 0.7484 0.7634  7 Ho 3.27-3.65, 2 La 3.51-3.52
Dy 0.0000 0.0000 0.5000  8 Ho 3.47-3.77, 4 Dy 3.78-3.85
Dy 0.5860 0.2206 0.6810  7 Ho 3.38-3.74, 2 Dy 3.56-3.78
Dy 0.4140 0.7794 0.3190  7 Ho 3.38-3.74, 2 Dy 3.56-3.78
La 0.9204 0.1905 0.1162  9 Ho 3.40-3.74, 3 Dy 3.51-3.69
La 0.0796 0.8095 0.8838  9 Ho 3.40-3.74, 3 Dy 3.51-3.69

The density of states at the Fermi level comes out at 1.5099 states/eV per atom. The calculation puts the energy above the most stable polymorph in this dataset at 0 meV/atom. Its total energy is -4.53 eV/atom. As for the density: 8.3 Mg/m³. The energy relative to the elements comes out at 0.088 eV/atom.

---

Entry 6:
Below is a relaxed structure of La5Dy3Ho, with properties calculated at the PBE level.

Cell: 9.8830 9.1412 13.6526 Å, 132.57 90.00 122.72°
Last column: nearest neighbours and their distance in Å.
Fractional coordinates of all 18 atoms:
La 0.8020 0.3069 0.0668  3 La 3.25-3.60, 2 Ho 3.42-3.64, 2 Dy 3.57-3.62
La 0.5049 0.3069 0.5668  3 La 3.25-3.60, 2 Ho 3.42-3.64, 2 Dy 3.57-3.62
La 0.8023 0.0000 0.2500  4 La 3.29-3.48, 1 Ho 3.47, 2 Dy 3.66
La 0.1378 0.6342 0.3972  5 La 3.25-3.60
La 0.4951 0.6931 0.4332  3 La 3.25-3.60, 2 Ho 3.42-3.64, 2 Dy 3.57-3.62
La 0.8622 0.3658 0.6028  5 La 3.25-3.60
La 0.4964 0.6342 0.8972  5 La 3.25-3.60
La 0.1980 0.6931 0.9332  3 La 3.25-3.60, 2 Ho 3.42-3.64, 2 Dy 3.57-3.62
La 0.5036 0.3658 0.1028  5 La 3.25-3.60
La 0.1977 0.0000 0.7500  4 La 3.29-3.48, 1 Ho 3.47, 2 Dy 3.66
Dy 0.0000 0.0000 0.0000  2 Dy 3.51, 8 La 3.69-3.87, 2 Ho 3.74
Dy 0.0000 0.0000 0.5000  2 Dy 3.51, 8 La 3.69-3.87, 2 Ho 3.74
Dy 0.3418 0.6480 0.6564  2 Dy 3.51-3.69, 7 La 3.57-3.87, 2 Ho 3.60-3.73
Dy 0.6582 0.3520 0.3436  2 Dy 3.51-3.69, 7 La 3.57-3.87, 2 Ho 3.60-3.73
Dy 0.3062 0.6480 0.1564  2 Dy 3.51-3.69, 7 La 3.57-3.87, 2 Ho 3.60-3.73
Dy 0.6938 0.3520 0.8436  2 Dy 3.51-3.69, 7 La 3.57-3.87, 2 Ho 3.60-3.73
Ho 0.8461 0.0000 0.7500  5 La 3.42-3.64, 6 Dy 3.60-3.74
Ho 0.1539 0.0000 0.2500  5 La 3.42-3.64, 6 Dy 3.60-3.74

The density of states at the Fermi level comes out at 1.4980 states/eV per atom. Its total energy is -4.72 eV/atom. As for the density: 7.3 Mg/m³. The energy relative to the elements comes out at 0.061 eV/atom.

---

Entry 7:
Below is a relaxed structure of La2Dy3Ho3, with properties calculated at the PBE level.

Cell: 5.0970 5.0974 10.6882 Å, 103.82 103.79 90.00°
Last column: nearest neighbours and their distance in Å.
Fractional coordinates of all 8 atoms:
La 0.2499 0.7499 0.4998  4 La 3.60, 4 Dy 3.63, 4 Ho 3.63
La 0.7501 0.2501 0.5002  4 La 3.60, 4 Dy 3.63, 4 Ho 3.63
Ho 0.3786 0.3785 0.7572  2 Ho 3.53, 6 Dy 3.53-3.60, 4 La 3.63
Ho 0.5000 0.0000 0.0000  4 Ho 3.53, 8 Dy 3.53-3.60
Ho 0.6214 0.6215 0.2428  2 Ho 3.53, 6 Dy 3.53-3.60, 4 La 3.63
Dy 0.8785 0.8784 0.7570  2 Dy 3.53, 6 Ho 3.53-3.60, 4 La 3.63
Dy 0.1215 0.1216 0.2430  2 Dy 3.53, 6 Ho 3.53-3.60, 4 La 3.63
Dy 0.0000 0.5000 0.0000  8 Ho 3.53-3.60, 4 Dy 3.53

The density of states at the Fermi level comes out at 1.5906 states/eV per atom. The calculation puts the energy above the most stable polymorph in this dataset at 0 meV/atom. Its total energy is -4.64 eV/atom. As for the density: 8.0 Mg/m³. The energy relative to the elements comes out at 0.031 eV/atom.

---

Entry 8:
Below is a relaxed structure of LaDy4Ho4, with properties calculated at the PBE level.

Cell: 9.6368 8.6634 11.0389 Å, 93.06 72.59 137.10°
Last column: nearest neighbours and their distance in Å.
Fractional coordinates of all 18 atoms:
Ho 0.8106 0.4701 0.7970  6 Dy 3.44-3.83, 6 Ho 3.52-3.79
Ho 0.1894 0.5299 0.2030  6 Dy 3.44-3.83, 6 Ho 3.52-3.79
Ho 0.5109 0.8477 0.8707  7 Ho 3.48-3.85, 5 Dy 3.52-3.79, 1 La 3.65
Ho 0.9549 0.2919 0.9612  5 Ho 3.16-3.54, 3 Dy 3.38-3.52, 1 La 3.45
Ho 0.0451 0.7081 0.0388  5 Ho 3.16-3.54, 3 Dy 3.38-3.52, 1 La 3.45
Ho 0.1514 0.8091 0.4607  7 Dy 3.45-3.85, 4 Ho 3.56-3.75, 1 La 3.66
Ho 0.8486 0.1909 0.5393  7 Dy 3.45-3.85, 4 Ho 3.56-3.75, 1 La 3.66
Ho 0.4891 0.1523 0.1293  7 Ho 3.48-3.85, 5 Dy 3.52-3.79, 1 La 3.65
La 0.0422 0.0762 0.7162  7 Dy 3.38-3.59, 3 Ho 3.45-3.66
La 0.9578 0.9238 0.2838  7 Dy 3.38-3.59, 3 Ho 3.45-3.66
Dy 0.7055 0.3685 0.3755  4 Dy 3.17-3.55, 4 Ho 3.45-3.53, 1 La 3.46
Dy 0.6257 0.6011 0.6211  5 Dy 3.38-3.64, 3 La 3.47-3.59, 2 Ho 3.67-3.70
Dy 0.3694 0.0374 0.7087  4 Dy 3.17-3.55, 1 La 3.38, 3 Ho 3.44-3.55
Dy 0.6306 0.9626 0.2913  4 Dy 3.17-3.55, 1 La 3.38, 3 Ho 3.44-3.55
Dy 0.3743 0.3989 0.3789  5 Dy 3.38-3.64, 3 La 3.47-3.59, 2 Ho 3.67-3.70
Dy 0.2936 0.2702 0.9531  5 Ho 3.38-3.77, 4 Dy 3.40-3.64, 2 La 3.56-3.59
Dy 0.2945 0.6315 0.6245  4 Dy 3.17-3.55, 4 Ho 3.45-3.53, 1 La 3.46
Dy 0.7064 0.7298 0.0469  5 Ho 3.38-3.77, 4 Dy 3.40-3.64, 2 La 3.56-3.59

The density of states at the Fermi level comes out at 1.7623 states/eV per atom. The calculation puts the energy above the most stable polymorph in this dataset at 14 meV/atom. Its total energy is -4.59 eV/atom. As for the density: 8.3 Mg/m³. The energy relative to the elements comes out at 0.040 eV/atom.

---

What is the density in the first record?
7.5 Mg/m³

---

Which value of energy relative to the elements does entry 3 give?
0.135 eV/atom